Computed, not measured: a geometry-optimized Sr2WF8 structure at the PBE+U level of DFT.

Theoretical density   4.1 g cm⁻³
DFT total energy   -5.537 eV/atom
Density of states at the Fermi level   6.99 states/eV/cell

a = 4.730 Å, b = 7.120 Å, c = 7.120 Å
α = 120.00°, β = 90.00°, γ = 90.00°
Atoms (fractional coordinates):
1 Sr 0.759 0.333 0.667
2 Sr 0.241 0.667 0.333
3 W 0.500 0.000 0.000
4 F 0.743 0.667 0.333
5 F 0.257 0.333 0.667
6 F 0.270 0.276 0.138
7 F 0.730 0.724 0.862
8 F 0.730 0.138 0.862
9 F 0.270 0.862 0.138
10 F 0.270 0.862 0.724
11 F 0.730 0.138 0.276